No. 1
VASP calculation (PBEsol) on RbZrTi2 after structural relaxation.

It has space group Fm-3m (No. 225), with a = 7.057 Å, b = 7.057 Å, c = 7.057 Å, α = 90.00°, β = 90.00° and γ = 90.00°. Symmetry generates all atoms from Rb at (0.000, 0.000, 0.000), Zr at (0.000, 0.000, 0.500) and Ti at (0.250, 0.250, 0.250).

The value obtained for the size of the total moment is 0.00 μB per cell. The formation energy is 1245 meV per atom. The energy comes out at -87.12 eV per cell.

---

No. 2
VASP calculation (PBEsol) on Rb5Tl9 after structural relaxation.

It has space group P-62m (No. 189), with a = 10.2389 Å, b = 10.2389 Å, c = 17.5743 Å, α = 90.00°, β = 90.00° and γ = 120.00°. Symmetry generates all atoms from Rb at (0.0000, 0.0000, 0.0000), Rb at (0.0000, 0.2699, 0.1868), Rb at (0.0000, 0.6126, 0.3147), Rb at (0.3333, 0.6667, 0.5000), Tl at (0.0000, 0.0000, 0.3513), Tl at (0.0000, 0.2870, 0.4089), Tl at (0.0000, 0.6208, 0.1019), Tl at (0.0000, 0.7859, 0.5000), Tl at (0.1727, 0.4627, 0.0000) and Tl at (0.3333, 0.6667, 0.1560).

The value obtained for the size of the total moment is 0.00 μB per cell. The formation energy is -121 meV per atom. The energy comes out at -91.48 eV per cell.